Entry 1:
A geometry-optimized KTcH2 structure. Source: the Open Quantum Materials Database, functional PBE.

Properties
Symmetry = P4/mmm (123)
Total DFT energy (no corrections) = -3.706 eV/atom

a = 3.2023 Å, b = 3.2023 Å, c = 4.8189 Å
α = 90.00°, β = 90.00°, γ = 90.00°
Closest atoms and distances in Å follow each position.
Positions (direct):
K 0.0000 0.0000 0.0000  6 H 2.26-2.41
Tc 0.5000 0.5000 0.5000  6 H 2.26-2.41
H 0.0000 0.0000 0.5000  4 Tc 2.26, 2 K 2.41
H 0.5000 0.5000 0.0000  4 K 2.26, 2 Tc 2.41


Entry 2:
A geometry-optimized Nb2FeGe structure. Source: the Open Quantum Materials Database, functional PBE.

Properties
Symmetry = F-43m (216)
Total DFT energy (no corrections) = -8.189 eV/atom

a = 4.4292 Å, b = 4.4292 Å, c = 4.4292 Å
α = 60.00°, β = 60.00°, γ = 60.00°
Closest atoms and distances in Å follow each position.
Positions (direct):
Nb 0.0000 0.0000 0.0000  4 Nb 2.71, 4 Fe 2.71
Nb 0.2500 0.2500 0.2500  4 Ge 2.71, 4 Nb 2.71
Fe 0.7500 0.7500 0.7500  4 Ge 2.71, 4 Nb 2.71
Ge 0.5000 0.5000 0.5000  4 Fe 2.71, 4 Nb 2.71


Entry 3:
A geometry-optimized PuGa structure. Source: the Open Quantum Materials Database, functional PBE.

Properties
Symmetry = I4mm (107)
Total DFT energy (no corrections) = -9.008 eV/atom

a = 6.1877 Å, b = 6.1877 Å, c = 6.1877 Å
α = 116.97°, β = 116.97°, γ = 95.34°
Closest atoms and distances in Å follow each position.
Positions (direct):
Pu 0.0000 0.0000 0.0000  8 Ga 3.15-3.16, 5 Pu 3.25-3.27
Pu 0.3894 0.3894 0.0000  8 Ga 3.14-3.17, 5 Pu 3.25-3.27
Pu 0.4436 0.9436 0.5000  8 Ga 3.11-3.13, 4 Pu 3.27
Pu 0.9436 0.4436 0.5000  8 Ga 3.11-3.13, 4 Pu 3.27
Ga 0.4898 0.4898 0.5879  2 Ga 2.67
Ga 0.4898 0.9019 0.0000  2 Ga 2.67
Ga 0.9019 0.4898 0.0000  2 Ga 2.67
Ga 0.9019 0.9019 0.4121  2 Ga 2.67


Entry 4:
A geometry-optimized Dy2Y3Ga3 structure. Source: the Open Quantum Materials Database, functional PBE.

Properties
Symmetry = Pm (6)
Energy above the most stable polymorph in this dataset = 0 meV per atom

a = 6.4737 Å, b = 5.0693 Å, c = 6.5238 Å
α = 90.00°, β = 110.54°, γ = 90.00°
Closest atoms and distances in Å follow each position.
Positions (direct):
Dy 0.0000 0.0000 0.0000  4 Ga 2.99-3.10, 3 Y 3.20-3.27
Dy 0.2305 0.5000 0.6994  6 Ga 3.15-3.30, 2 Y 3.19-3.29
Y 0.4335 0.0000 0.4311  4 Ga 3.02-3.14, 1 Dy 3.20, 2 Y 3.33
Y 0.7337 0.5000 0.2087  6 Ga 3.17-3.26, 2 Y 3.23-3.30
Y 0.7407 0.5000 0.7056  4 Dy 3.19-3.29, 4 Y 3.23-3.33, 4 Ga 3.29-3.55
Ga 0.2317 0.5000 0.1942  4 Dy 2.99-3.30, 4 Y 3.02-3.26
Ga 0.5013 0.0000 0.9322  4 Dy 3.10-3.43, 4 Y 3.14-3.43
Ga 0.9343 0.0000 0.5066  3 Dy 3.10-3.16, 6 Y 3.10-3.44


Entry 5:
A geometry-optimized AuN structure. Source: the Open Quantum Materials Database, functional PBE.

Properties
Symmetry = F-43m (216)
Energy above the most stable polymorph in this dataset = 131 meV per atom

a = 3.5087 Å, b = 3.5087 Å, c = 3.5087 Å
α = 60.00°, β = 60.00°, γ = 60.00°
Closest atoms and distances in Å follow each position.
Positions (direct):
Au 0.0000 0.0000 0.0000  4 N 2.15
N 0.7500 0.7500 0.7500  4 Au 2.15


Entry 6:
A geometry-optimized RbPrGaTe3 structure. Source: the Open Quantum Materials Database, functional PBE.

Properties
Symmetry = Cmcm (63)
Total DFT energy (no corrections) = -4.003 eV/atom

a = 8.2310 Å, b = 8.2310 Å, c = 12.1545 Å
α = 90.00°, β = 90.00°, γ = 145.17°
Closest atoms and distances in Å follow each position.
Positions (direct):
Rb 0.2484 0.7516 0.7500  6 Te 3.80-3.85, 1 Ga 4.21
Rb 0.7516 0.2484 0.2500  6 Te 3.80-3.85, 1 Ga 4.21
Pr 0.5000 0.5000 0.0000  6 Te 3.20-3.27
Pr 0.5000 0.5000 0.5000  6 Te 3.20-3.27
Ga 0.0194 0.9806 0.2500  4 Te 2.78-2.79
Ga 0.9806 0.0194 0.7500  4 Te 2.78-2.79
Te 0.1263 0.8737 0.0682  1 Ga 2.78
Te 0.1263 0.8737 0.4318  1 Ga 2.78
Te 0.4356 0.5644 0.2500  2 Ga 2.79
Te 0.5644 0.4356 0.7500  2 Ga 2.79
Te 0.8737 0.1263 0.5682  1 Ga 2.78
Te 0.8737 0.1263 0.9318  1 Ga 2.78


Entry 7:
A geometry-optimized InFeSn2 structure. Source: the Open Quantum Materials Database, functional PBE.

Properties
Symmetry = F-43m (216)
Total DFT energy (no corrections) = -4.264 eV/atom

a = 4.9523 Å, b = 4.9523 Å, c = 4.9523 Å
α = 60.00°, β = 60.00°, γ = 60.00°
Closest atoms and distances in Å follow each position.
Positions (direct):
In 0.0000 0.0000 0.0000  4 Fe 3.03, 4 Sn 3.03
Fe 0.7500 0.7500 0.7500  4 In 3.03, 4 Sn 3.03
Sn 0.2500 0.2500 0.2500  4 In 3.03, 4 Sn 3.03
Sn 0.5000 0.5000 0.5000  4 Sn 3.03, 4 Fe 3.03


Entry 8:
A geometry-optimized TaSiNiW structure. Source: the Open Quantum Materials Database, functional PBE.

Properties
Symmetry = F-43m (216)
Total DFT energy (no corrections) = -8.747 eV/atom

a = 4.3618 Å, b = 4.3618 Å, c = 4.3618 Å
α = 60.00°, β = 60.00°, γ = 60.00°
Closest atoms and distances in Å follow each position.
Positions (direct):
Ta 0.0000 0.0000 0.0000  4 W 2.67, 4 Si 2.67
Si 0.2500 0.2500 0.2500  4 Ni 2.67, 4 Ta 2.67
Ni 0.5000 0.5000 0.5000  4 W 2.67, 4 Si 2.67
W 0.7500 0.7500 0.7500  4 Ni 2.67, 4 Ta 2.67


Entry 9:
A geometry-optimized Dy5ScBi2Os structure. Source: the Open Quantum Materials Database, functional PBE.

Properties
Symmetry = Amm2 (38)
Total DFT energy (no corrections) = -5.972 eV/atom

a = 4.2225 Å, b = 8.1912 Å, c = 8.1912 Å
α = 119.58°, β = 90.00°, γ = 90.00°
Closest atoms and distances in Å follow each position.
Positions (direct):
Dy 0.0000 0.0000 0.0000  4 Bi 3.26, 1 Os 3.50, 4 Dy 3.54
Dy 0.0000 0.2153 0.5987  1 Os 3.05, 4 Bi 3.29-3.35
Dy 0.0000 0.5987 0.2153  1 Os 3.05, 4 Bi 3.29-3.35
Dy 0.5000 0.6015 0.8303  2 Os 2.90, 1 Dy 3.24
Dy 0.5000 0.8303 0.6015  2 Os 2.90, 1 Dy 3.24
Sc 0.5000 0.3683 0.3683  2 Os 2.72
Bi 0.5000 0.2684 0.9397  1 Sc 3.19, 8 Dy 3.26-3.35
Bi 0.5000 0.9397 0.2684  1 Sc 3.19, 8 Dy 3.26-3.35
Os 0.0000 0.5758 0.5758  2 Sc 2.72, 4 Dy 2.90


Entry 10:
A geometry-optimized Cu2Ag3 structure. Source: the Open Quantum Materials Database, functional PBE.

Properties
Formation energy = 0.0932 eV per atom
Symmetry = C2/m (12)
Energy above the most stable polymorph in this dataset = 61 meV per atom

a = 7.5154 Å, b = 7.5154 Å, c = 5.7036 Å
α = 101.98°, β = 101.98°, γ = 29.69°
Closest atoms and distances in Å follow each position.
Positions (direct):
Cu 0.0000 0.0000 0.0000  8 Ag 2.74-2.78, 4 Cu 2.84-2.85
Cu 0.0000 0.0000 0.5000  10 Ag 2.78-2.87, 2 Cu 2.85
Cu 0.2004 0.2004 0.0944  9 Ag 2.73-2.94, 3 Cu 2.76-2.84
Cu 0.7996 0.7996 0.9056  9 Ag 2.73-2.94, 3 Cu 2.76-2.84
Ag 0.2024 0.2024 0.6116  5 Cu 2.74-2.94, 7 Ag 2.81-2.86
Ag 0.3993 0.3993 0.1911  7 Cu 2.73-2.82, 5 Ag 2.79-2.91
Ag 0.4040 0.4040 0.7043  6 Cu 2.74-2.84, 6 Ag 2.79-2.91
Ag 0.5960 0.5960 0.2957  6 Cu 2.74-2.84, 6 Ag 2.79-2.91
Ag 0.6007 0.6007 0.8089  7 Cu 2.73-2.82, 5 Ag 2.79-2.91
Ag 0.7976 0.7976 0.3884  5 Cu 2.74-2.94, 7 Ag 2.81-2.86


Entry 11:
A geometry-optimized Nd3ThSb4 structure. Source: the Open Quantum Materials Database, functional PBE.

Properties
Symmetry = Cmmm (65)
Total DFT energy (no corrections) = -5.915 eV/atom

a = 7.8268 Å, b = 7.8268 Å, c = 4.5243 Å
α = 90.00°, β = 90.00°, γ = 109.48°
Closest atoms and distances in Å follow each position.
Positions (direct):
Nd 0.0000 0.0000 0.0000  6 Sb 3.20-3.21
Nd 0.0000 0.5000 0.5000  6 Sb 3.20
Nd 0.5000 0.0000 0.5000  6 Sb 3.20
Th 0.5000 0.5000 0.0000  6 Sb 3.18-3.19
Sb 0.2511 0.2511 0.5000  2 Th 3.19, 4 Nd 3.20
Sb 0.2510 0.7490 0.0000  1 Th 3.18, 5 Nd 3.20-3.21
Sb 0.7490 0.2510 0.0000  1 Th 3.18, 5 Nd 3.20-3.21
Sb 0.7489 0.7489 0.5000  2 Th 3.19, 4 Nd 3.20


Entry 12:
A geometry-optimized HfUBi structure. Source: the Open Quantum Materials Database, functional PBE.

Properties
Symmetry = F-43m (216)
Energy above the most stable polymorph in this dataset = 235 meV per atom

a = 5.1196 Å, b = 5.1196 Å, c = 5.1196 Å
α = 60.00°, β = 60.00°, γ = 60.00°
Closest atoms and distances in Å follow each position.
Positions (direct):
Hf 0.0000 0.0000 0.0000  4 U 3.14
U 0.7500 0.7500 0.7500  4 Hf 3.14, 4 Bi 3.14
Bi 0.5000 0.5000 0.5000  4 U 3.14


Entry 13:
A geometry-optimized Ba2PrAs2 structure. Source: the Open Quantum Materials Database, functional PBE.

Properties
Symmetry = P2_1/c (14)
Energy above the most stable polymorph in this dataset = 18 meV per atom

a = 10.1381 Å, b = 9.4556 Å, c = 8.2532 Å
α = 90.00°, β = 90.67°, γ = 90.00°
Closest atoms and distances in Å follow each position.
Positions (direct):
Ba 0.0026 0.1232 0.2625  6 As 3.37-3.60
Ba 0.0026 0.3768 0.7625  6 As 3.37-3.60
Ba 0.3603 0.6321 0.9041  3 As 3.22-3.27
Ba 0.3603 0.8679 0.4041  3 As 3.22-3.27
Ba 0.6397 0.1321 0.5959  3 As 3.22-3.27
Ba 0.6397 0.3679 0.0959  3 As 3.22-3.27
Ba 0.9974 0.6232 0.2375  6 As 3.37-3.60
Ba 0.9974 0.8768 0.7375  6 As 3.37-3.60
Pr 0.3262 0.1102 0.9368  3 As 2.85-2.94
Pr 0.3262 0.3898 0.4368  3 As 2.85-2.94
Pr 0.6738 0.6102 0.5632  3 As 2.85-2.94
Pr 0.6738 0.8898 0.0632  3 As 2.85-2.94
As 0.1880 0.6220 0.5743  1 Pr 2.85
As 0.1880 0.8780 0.0743  1 Pr 2.85
As 0.2305 0.1334 0.6002  2 Pr 2.94, 1 Ba 3.27
As 0.2305 0.3666 0.1002  2 Pr 2.94, 1 Ba 3.27
As 0.7695 0.6334 0.8998  2 Pr 2.94, 1 Ba 3.27
As 0.7695 0.8666 0.3998  2 Pr 2.94, 1 Ba 3.27
As 0.8120 0.1220 0.9257  1 Pr 2.85
As 0.8120 0.3780 0.4257  1 Pr 2.85


Entry 14:
A geometry-optimized Zn4Sb3 structure. Source: the Open Quantum Materials Database, functional PBE.

Properties
Symmetry = P6_3/m (176)
Energy above the most stable polymorph in this dataset = 0 meV per atom

a = 8.3530 Å, b = 8.3530 Å, c = 4.9991 Å
α = 90.00°, β = 90.00°, γ = 120.00°
Closest atoms and distances in Å follow each position.
Positions (direct):
Zn 0.1238 0.5008 0.2500  4 Zn 2.77-2.97, 3 Sb 2.90-2.94
Zn 0.3333 0.6667 0.7500  3 Sb 2.75, 6 Zn 2.97
Zn 0.3770 0.8762 0.2500  4 Zn 2.77-2.97, 3 Sb 2.90-2.94
Zn 0.4992 0.6230 0.2500  4 Zn 2.77-2.97, 3 Sb 2.90-2.94
Zn 0.5008 0.3770 0.7500  4 Zn 2.77-2.97, 3 Sb 2.90-2.94
Zn 0.6230 0.1238 0.7500  4 Zn 2.77-2.97, 3 Sb 2.90-2.94
Zn 0.6667 0.3333 0.2500  3 Sb 2.75, 6 Zn 2.97
Zn 0.8762 0.4992 0.7500  4 Zn 2.77-2.97, 3 Sb 2.90-2.94
Sb 0.0748 0.2967 0.7500  4 Zn 2.75-2.94
Sb 0.2218 0.9252 0.7500  4 Zn 2.75-2.94
Sb 0.2967 0.2218 0.2500  4 Zn 2.75-2.94
Sb 0.7033 0.7782 0.7500  4 Zn 2.75-2.94
Sb 0.7782 0.0748 0.2500  4 Zn 2.75-2.94
Sb 0.9252 0.7033 0.2500  4 Zn 2.75-2.94


Entry 15:
A geometry-optimized LuNiPbAu structure. Source: the Open Quantum Materials Database, functional PBE.

Properties
Symmetry = F-43m (216)
Total DFT energy (no corrections) = -4.506 eV/atom

a = 4.8110 Å, b = 4.8110 Å, c = 4.8110 Å
α = 60.00°, β = 60.00°, γ = 60.00°
Closest atoms and distances in Å follow each position.
Positions (direct):
Lu 0.0000 0.0000 0.0000  4 Au 2.95, 4 Pb 2.95
Ni 0.5000 0.5000 0.5000  4 Pb 2.95, 4 Au 2.95
Pb 0.2500 0.2500 0.2500  4 Ni 2.95, 4 Lu 2.95
Au 0.7500 0.7500 0.7500  4 Lu 2.95, 4 Ni 2.95


Entry 16:
A geometry-optimized Tm3Lu4Ni2Se2 structure. Source: the Open Quantum Materials Database, functional PBE.

Properties
Symmetry = Imm2 (44)
Total DFT energy (no corrections) = -5.336 eV/atom

a = 8.9022 Å, b = 8.9022 Å, c = 8.9022 Å
α = 155.76°, β = 67.68°, γ = 117.90°
Closest atoms and distances in Å follow each position.
Positions (direct):
Tm 0.0000 0.0000 0.0000  3 Se 3.00-3.13
Tm 0.2853 0.4111 0.8742  2 Ni 2.75, 3 Se 2.94-3.00
Tm 0.5369 0.4111 0.1258  2 Ni 2.75, 3 Se 2.94-3.00
Lu 0.3027 0.6169 0.6857  3 Ni 2.71-3.01, 1 Se 3.03
Lu 0.6209 0.2606 0.3603  2 Ni 2.79, 2 Se 2.94
Lu 0.9003 0.2606 0.6397  2 Ni 2.79, 2 Se 2.94
Lu 0.9312 0.6169 0.3143  3 Ni 2.71-3.01, 1 Se 3.03
Ni 0.1584 0.9206 0.2378  5 Lu 2.71-3.01, 2 Tm 2.75
Ni 0.6828 0.9206 0.7622  5 Lu 2.71-3.01, 2 Tm 2.75
Se 0.2553 0.7553 0.5000  6 Tm 3.00, 2 Lu 3.03
Se 0.6587 0.6587 0.0000  3 Tm 2.94-3.13, 4 Lu 2.94


Entry 17:
A geometry-optimized Li2ZrScAl2Pd2 structure. Source: the Open Quantum Materials Database, functional PBE.

Properties
Symmetry = P-4m2 (115)
Total DFT energy (no corrections) = -5.203 eV/atom

a = 4.4960 Å, b = 4.4960 Å, c = 6.3596 Å
α = 90.00°, β = 90.00°, γ = 90.00°
Closest atoms and distances in Å follow each position.
Positions (direct):
Li 0.0000 0.5000 0.2456  2 Sc 2.74, 4 Al 2.74-2.77, 2 Zr 2.77
Li 0.5000 0.0000 0.7544  2 Sc 2.74, 4 Al 2.74-2.77, 2 Zr 2.77
Zr 0.0000 0.0000 0.5000  4 Pd 2.74, 4 Li 2.77
Sc 0.5000 0.5000 0.0000  4 Li 2.74, 4 Pd 2.76
Al 0.0000 0.0000 0.0000  4 Li 2.74, 4 Pd 2.76
Al 0.5000 0.5000 0.5000  4 Pd 2.74, 4 Li 2.77
Pd 0.0000 0.5000 0.7476  2 Zr 2.74, 4 Al 2.74-2.76, 2 Sc 2.76
Pd 0.5000 0.0000 0.2524  4 Al 2.74-2.76, 2 Zr 2.74, 2 Sc 2.76


Entry 18:
A geometry-optimized Tm2In2Ga6Co structure. Source: the Open Quantum Materials Database, functional PBE.

Properties
Symmetry = P4/mmm (123)
Energy above the most stable polymorph in this dataset = 20 meV per atom

a = 4.3493 Å, b = 4.3493 Å, c = 11.0771 Å
α = 90.00°, β = 90.00°, γ = 90.00°
Closest atoms and distances in Å follow each position.
Positions (direct):
Tm 0.0000 0.0000 0.1957  8 Ga 3.02-3.07, 4 In 3.08, 1 Co 3.37
Tm 0.0000 0.0000 0.8043  8 Ga 3.02-3.07, 4 In 3.08, 1 Co 3.37
In 0.5000 0.5000 0.1933  8 Ga 3.04-3.05, 4 Tm 3.08
In 0.5000 0.5000 0.8067  8 Ga 3.04-3.05, 4 Tm 3.08
Ga 0.0000 0.5000 0.0000  4 In 3.05, 4 Tm 3.07, 4 Ga 3.08
Ga 0.0000 0.5000 0.3849  2 Co 2.52, 1 Ga 2.55
Ga 0.0000 0.5000 0.6151  2 Co 2.52, 1 Ga 2.55
Ga 0.5000 0.0000 0.0000  4 In 3.05, 4 Tm 3.07, 4 Ga 3.08
Ga 0.5000 0.0000 0.3849  2 Co 2.52, 1 Ga 2.55
Ga 0.5000 0.0000 0.6151  2 Co 2.52, 1 Ga 2.55
Co 0.0000 0.0000 0.5000  8 Ga 2.52


Entry 19:
A geometry-optimized Mg2CdB structure. Source: the Open Quantum Materials Database, functional PBE.

Properties
Symmetry = F-43m (216)
Total DFT energy (no corrections) = -1.945 eV/atom

a = 4.6205 Å, b = 4.6205 Å, c = 4.6205 Å
α = 60.00°, β = 60.00°, γ = 60.00°
Closest atoms and distances in Å follow each position.
Positions (direct):
Mg 0.0000 0.0000 0.0000  4 Cd 2.83, 4 Mg 2.83
Mg 0.2500 0.2500 0.2500  4 B 2.83, 4 Mg 2.83
Cd 0.7500 0.7500 0.7500  4 B 2.83, 4 Mg 2.83
B 0.5000 0.5000 0.5000  4 Cd 2.83, 4 Mg 2.83


Entry 20:
A geometry-optimized LaCuPdPb structure. Source: the Open Quantum Materials Database, functional PBE.

Properties
Symmetry = F-43m (216)
Energy above the most stable polymorph in this dataset = 0 meV per atom

a = 4.9897 Å, b = 4.9897 Å, c = 4.9897 Å
α = 60.00°, β = 60.00°, γ = 60.00°
Closest atoms and distances in Å follow each position.
Positions (direct):
La 0.0000 0.0000 0.0000  4 Pd 3.06, 4 Cu 3.06
Cu 0.2500 0.2500 0.2500  4 La 3.06, 4 Pb 3.06
Pd 0.7500 0.7500 0.7500  4 La 3.06, 4 Pb 3.06
Pb 0.5000 0.5000 0.5000  4 Pd 3.06, 4 Cu 3.06